TaTc2Ru | Alexandria via LeMat-Bulk | PBE-GGA | optimized geometry; D(E_F) = 1.2215 states/eV per atom; uncorrected energy = -41.80 eV for the cell shown; spin magnetization = 0.00 μB/f.u.; mass density = 12.91 g/cm3
1.0
2.7878 0.0000 0.0000
0.0000 2.7878 0.0000
0.0000 0.0000 7.9112
Ta Tc Ru
1 2 1
Cartesian
0.0000 0.0000 0.0000
0.0000 0.0000 4.0187
1.3939 1.3939 2.1488
1.3939 1.3939 5.8280

Y3C4 | Alexandria via LeMat-Bulk | PBE-GGA | optimized geometry; D(E_F) = 0.1784 states/eV per atom; uncorrected energy = -585.06 eV for the cell shown; spin magnetization = 0.00 μB/f.u.; mass density = 4.92 g/cm3
1.0
8.1305 0.0000 0.0000
0.0000 8.1305 0.0000
0.0000 0.0000 16.0647
Y C
30 40
Cartesian
0.0000 0.0000 0.0000
0.0000 0.0000 5.0255
0.0000 0.0000 11.0392
0.7801 2.4209 8.0323
0.8115 5.7846 2.3579
0.8115 5.7846 13.7068
1.6444 3.2852 0.0000
1.7194 4.8767 5.6744
1.7194 4.8767 10.3903
2.3458 0.8115 2.3579
2.3458 0.8115 13.7068
2.4209 7.3504 8.0323
3.2538 1.7194 5.6744
3.2538 1.7194 10.3903
3.2852 6.4861 0.0000
4.0652 4.0652 3.0068
4.0652 4.0652 8.0323
4.0652 4.0652 13.0578
4.8453 1.6444 0.0000
4.8767 6.4111 5.6744
4.8767 6.4111 10.3903
5.7096 0.7801 8.0323
5.7846 7.3190 2.3579
5.7846 7.3190 13.7068
6.4111 3.2538 5.6744
6.4111 3.2538 10.3903
6.4861 4.8453 0.0000
7.3190 2.3458 2.3579
7.3190 2.3458 13.7068
7.3504 5.7096 8.0323
0.0000 0.0000 2.5232
0.0000 0.0000 7.3794
0.0000 0.0000 8.6853
0.0000 0.0000 13.5415
0.7978 2.4907 5.2478
0.7978 2.4907 10.8169
0.8619 5.6565 0.0000
1.2210 2.8443 4.0162
1.2210 2.8443 12.0485
1.5746 3.2674 2.7846
1.5746 3.2674 13.2801
1.5913 4.9271 8.0323
2.4739 0.8619 0.0000
2.4907 7.3326 5.2478
2.4907 7.3326 10.8169
2.8443 6.9095 4.0162
2.8443 6.9095 12.0485
3.2033 1.5913 8.0323
3.2674 6.5559 2.7846
3.2674 6.5559 13.2801
4.0652 4.0652 0.6530
4.0652 4.0652 5.5091
4.0652 4.0652 10.5556
4.0652 4.0652 15.4117
4.8630 1.5746 2.7846
4.8630 1.5746 13.2801
4.9271 6.5391 8.0323
5.2862 1.2210 4.0162
5.2862 1.2210 12.0485
5.6398 0.7978 5.2478
5.6398 0.7978 10.8169
5.6565 7.2686 0.0000
6.5391 3.2033 8.0323
6.5559 4.8630 2.7846
6.5559 4.8630 13.2801
6.9095 5.2862 4.0162
6.9095 5.2862 12.0485
7.2686 2.4739 0.0000
7.3326 5.6398 5.2478
7.3326 5.6398 10.8169

Sr2MnTlP | Alexandria via LeMat-Bulk | PBE-GGA | optimized geometry; D(E_F) = 0.6675 states/eV per atom; uncorrected energy = -18.02 eV for the cell shown; spin magnetization = 3.38 μB/f.u.; mass density = 4.14 g/cm3
1.0
6.0993 0.0000 0.0000
0.0000 6.0993 0.0000
0.0000 0.0000 5.0151
Sr Mn Tl P
2 1 1 1
Cartesian
0.0000 3.0496 0.0000
3.0496 0.0000 0.0000
0.0000 0.0000 2.5075
0.0000 0.0000 0.0000
3.0496 3.0496 2.5075

CeLuBeOs | Alexandria via LeMat-Bulk | PBE-GGA | optimized geometry; D(E_F) = 0.5289 states/eV per atom; uncorrected energy = -25.72 eV for the cell shown; spin magnetization = 0.00 μB/f.u.; mass density = 10.85 g/cm3
1.0
0.0000 3.4015 3.4015
3.4015 0.0000 3.4015
3.4015 3.4015 0.0000
Ce Lu Be Os
1 1 1 1
Cartesian
0.0000 0.0000 0.0000
3.4015 3.4015 3.4015
1.7007 1.7007 1.7007
5.1022 5.1022 5.1022